[1]
Computed, not measured: crystalline GdNbCSe at its relaxed geometry at the PBE level of DFT.

**Energy above the most stable polymorph in this dataset**: 0.000 eV per atom

Unit cell a=3.509 b=3.509 c=12.914 alpha=90.00 beta=90.00 gamma=120.00
Fractional coordinates of all 8 atoms:
C: 0.000 0.000 0.275
C: 0.000 0.000 0.725
Gd: 0.333 0.667 0.161
Gd: 0.333 0.667 0.839
Nb: 0.667 0.333 0.357
Nb: 0.667 0.333 0.643
Se: 0.667 0.333 0.000
Se: 0.333 0.667 0.500

=====

[2]
Computed, not measured: crystalline TbGeAsO at its relaxed geometry at the PBE level of DFT.

**Energy above the most stable polymorph in this dataset**: 0.500 eV per atom

Unit cell a=5.707 b=5.707 c=4.890 alpha=90.00 beta=90.00 gamma=90.00
Fractional coordinates of all 8 atoms:
As: 0.750 0.750 0.496
As: 0.250 0.250 0.504
Ge: 0.250 0.250 0.004
Ge: 0.750 0.750 0.996
O: 0.750 0.250 0.000
O: 0.250 0.750 0.000
Tb: 0.750 0.250 0.500
Tb: 0.250 0.750 0.500

=====

[3]
Computed, not measured: crystalline NdGa3P at its relaxed geometry at the PBE level of DFT.

Unit cell a=4.800 b=4.800 c=4.800 alpha=90.00 beta=90.00 gamma=90.00
Fractional coordinates of all 5 atoms:
Ga: 0.500 0.500 0.000
Ga: 0.500 0.000 0.500
Ga: 0.000 0.500 0.500
Nd: 0.000 0.000 0.000
P: 0.500 0.500 0.500

=====

[4]
Computed, not measured: crystalline DyThSc at its relaxed geometry at the PBE level of DFT.

**Energy of formation from the pure elements**: 0.73 eV/atom
**Energy above the most stable polymorph in this dataset**: 0.000 eV per atom

Unit cell a=5.264 b=5.264 c=5.264 alpha=60.00 beta=60.00 gamma=60.00
Fractional coordinates of all 3 atoms:
Dy: 0.250 0.250 0.250
Sc: 0.000 0.000 0.000
Th: 0.750 0.750 0.750

=====

[5]
Computed, not measured: crystalline KLuRe at its relaxed geometry at the PBE level of DFT.

**Energy above the most stable polymorph in this dataset**: 0.000 eV per atom

Unit cell a=4.974 b=4.974 c=4.974 alpha=60.00 beta=60.00 gamma=60.00
Fractional coordinates of all 3 atoms:
K: 0.250 0.250 0.250
Lu: 0.750 0.750 0.750
Re: 0.000 0.000 0.000

=====

[6]
Computed, not measured: crystalline ZrZnInCo at its relaxed geometry at the PBE level of DFT.

**Energy above the most stable polymorph in this dataset**: 0.210 eV per atom

Unit cell a=4.571 b=4.571 c=4.571 alpha=60.00 beta=60.00 gamma=60.00
Fractional coordinates of all 4 atoms:
Co: 0.750 0.750 0.750
In: 0.000 0.000 0.000
Zn: 0.500 0.500 0.500
Zr: 0.250 0.250 0.250

=====

[7]
Computed, not measured: crystalline SmSnAsO at its relaxed geometry at the PBE level of DFT.

**Energy above the most stable polymorph in this dataset**: 0.585 eV per atom

Unit cell a=5.233 b=5.233 c=6.109 alpha=90.00 beta=90.00 gamma=90.00
Fractional coordinates of all 8 atoms:
As: 0.750 0.750 0.333
As: 0.250 0.250 0.667
O: 0.750 0.250 0.000
O: 0.250 0.750 0.000
Sm: 0.750 0.250 0.500
Sm: 0.250 0.750 0.500
Sn: 0.250 0.250 0.082
Sn: 0.750 0.750 0.918

=====

[8]
Computed, not measured: crystalline Lu4SiBiN2 at its relaxed geometry at the PBE level of DFT.

Unit cell a=3.450 b=3.450 c=14.325 alpha=90.00 beta=90.00 gamma=120.00
Fractional coordinates of all 8 atoms:
Bi: 0.000 0.000 0.000
Lu: 0.667 0.333 0.174
Lu: 0.000 0.000 0.352
Lu: 0.000 0.000 0.648
Lu: 0.667 0.333 0.826
N: 0.333 0.667 0.259
N: 0.333 0.667 0.741
Si: 0.667 0.333 0.500

=====

[9]
Computed, not measured: crystalline ZnSnSO at its relaxed geometry at the PBE level of DFT.

**Energy above the most stable polymorph in this dataset**: 0.036 eV per atom

Unit cell a=5.899 b=9.236 c=5.661 alpha=90.00 beta=90.00 gamma=90.00
Fractional coordinates of all 16 atoms:
O: 0.087 0.086 0.115
O: 0.587 0.914 0.115
O: 0.413 0.086 0.615
O: 0.913 0.914 0.615
S: 0.550 0.297 0.089
S: 0.050 0.703 0.089
S: 0.950 0.297 0.589
S: 0.450 0.703 0.589
Sn: 0.999 0.322 0.068
Sn: 0.499 0.678 0.068
Sn: 0.501 0.322 0.568
Sn: 0.001 0.678 0.568
Zn: 0.095 0.072 0.477
Zn: 0.595 0.928 0.477
Zn: 0.405 0.072 0.977
Zn: 0.905 0.928 0.977

=====

[10]
Computed, not measured: crystalline KAgOsSe3 at its relaxed geometry at the PBE level of DFT.

Unit cell a=7.792 b=7.792 c=10.024 alpha=90.00 beta=90.00 gamma=28.67
Fractional coordinates of all 12 atoms:
Ag: 0.448 0.448 0.250
Ag: 0.552 0.552 0.750
K: 0.758 0.758 0.250
K: 0.242 0.242 0.750
Os: 0.000 0.000 0.000
Os: 0.000 0.000 0.500
Se: 0.390 0.390 0.015
Se: 0.069 0.069 0.250
Se: 0.390 0.390 0.485
Se: 0.610 0.610 0.515
Se: 0.931 0.931 0.750
Se: 0.610 0.610 0.985

=====

[11]
Computed, not measured: crystalline Zr3Pt at its relaxed geometry at the PBE level of DFT.

**Energy of formation from the pure elements**: -0.44 eV/atom

Unit cell a=5.578 b=5.801 c=5.007 alpha=90.00 beta=90.00 gamma=90.00
Fractional coordinates of all 8 atoms:
Pt: 0.008 0.000 0.000
Pt: 0.326 0.500 0.500
Zr: 0.543 0.249 0.000
Zr: 0.065 0.500 0.000
Zr: 0.543 0.751 0.000
Zr: 0.268 0.000 0.500
Zr: 0.790 0.251 0.500
Zr: 0.790 0.749 0.500

=====

[12]
Computed, not measured: crystalline Sc3NiSb at its relaxed geometry at the PBE level of DFT.

Unit cell a=6.742 b=6.742 c=6.742 alpha=121.66 beta=94.77 gamma=113.08
Fractional coordinates of all 10 atoms:
Ni: 0.500 0.500 0.000
Ni: 0.000 0.500 0.500
Sb: 0.271 0.021 0.250
Sb: 0.729 0.979 0.750
Sc: 0.201 0.500 0.201
Sc: 0.665 0.415 0.250
Sc: 0.799 0.000 0.299
Sc: 0.201 0.000 0.701
Sc: 0.335 0.585 0.750
Sc: 0.799 0.500 0.799

=====

Number 1: E_tot -0.5656 Ry/atom. Number 2: E_tot -0.4193 Ry/atom. Number 3: E_tot -0.2817 Ry/atom. Number 4: E_tot -0.3959 Ry/atom. Number 5: E_tot -0.3183 Ry/atom. Number 6: E_tot -0.3602 Ry/atom. Number 7: E_tot -0.3999 Ry/atom. Number 8: E_tot -0.4877 Ry/atom. Number 9: E_tot -0.3302 Ry/atom. Number 10: E_tot -0.3249 Ry/atom. Number 11: E_tot -0.6147 Ry/atom. Number 12: E_tot -0.4526 Ry/atom.